No. 1
First-principles (PBE-GGA) data for a geometry-optimized SrReGe2Pt structure, as listed in the Alexandria database.

Cell and atoms, written as POSCAR:
```
SrReGe2Pt
1.0
4.7845 0.0000 0.0000
0.0000 5.1690 0.0000
0.0000 0.0000 4.7845
Ge Re Pt Sr
2 1 1 1
Direct
0.5000 0.0000 0.0000
0.0000 0.0000 0.5000
0.0000 0.0000 0.0000
0.0000 0.5000 0.0000
0.5000 0.5000 0.5000
```

- Formation energy: -72 meV per atom

***

No. 2
First-principles (PBE-GGA) data for a geometry-optimized KCdW2 structure, as listed in the Alexandria database.

Cell and atoms, written as POSCAR:
```
KCdW2
1.0
6.5950 0.0076 0.0302
6.0301 2.6705 0.0302
1.9741 0.4188 4.7310
K Cd W
1 1 2
Direct
0.2500 0.2500 0.2500
0.7500 0.7500 0.7500
0.4717 0.4717 0.5282
0.0283 0.0283 0.9718
```

- Formation energy: 1104 meV per atom

***

No. 3
First-principles (PBE-GGA) data for a geometry-optimized CeNd4Ho15 structure, as listed in the Alexandria database.

Cell and atoms, written as POSCAR:
```
CeNd4Ho15
1.0
-1.9303 -2.9371 -3.6114
3.9983 -3.0482 0.3420
-11.8431 -13.5849 17.3783
Nd Ho Ce
4 15 1
Direct
0.0000 0.0000 0.3995
0.0000 0.0000 0.6005
0.0000 0.0000 0.8018
0.0000 0.0000 0.1982
0.5000 0.0000 0.2990
0.0000 0.5000 0.5000
0.5000 0.0000 0.9022
0.5000 0.5000 0.1992
0.5000 0.5000 0.3995
0.5000 0.0000 0.0978
0.0000 0.5000 0.7010
0.5000 0.5000 0.0000
0.5000 0.0000 0.7010
0.5000 0.5000 0.8008
0.5000 0.0000 0.5000
0.0000 0.5000 0.0978
0.5000 0.5000 0.6005
0.0000 0.5000 0.2990
0.0000 0.5000 0.9022
0.0000 0.0000 0.0000
```

- Formation energy: 30 meV per atom

***

No. 4
First-principles (PBE-GGA) data for a geometry-optimized Ac2Cd5Pb structure, as listed in the Alexandria database.

Cell and atoms, written as POSCAR:
```
Ac2Cd5Pb
1.0
-4.9053 -5.0794 -0.2843
3.8088 1.2694 5.8159
-1.6613 6.8657 0.2129
Ac Cd Pb
2 5 1
Direct
0.5000 0.2872 0.7872
0.5000 0.7872 0.2872
0.5448 0.3078 0.3078
0.4552 0.7630 0.7630
0.0000 0.7630 0.3078
0.0000 0.1944 0.1944
0.0000 0.3078 0.7630
0.0000 0.8117 0.8117
```

- Energy above the most stable polymorph in this dataset: 86 meV/atom
- Formation energy: -258 meV per atom

***

No. 5
First-principles (PBE-GGA) data for a geometry-optimized ZrInTe2 structure, as listed in the Alexandria database.

Cell and atoms, written as POSCAR:
```
ZrInTe2
1.0
7.5233 0.0466 -0.0200
4.8650 5.7389 0.0200
-5.7370 -3.8717 2.9496
Te In Zr
2 1 1
Direct
0.5849 0.5849 0.0000
0.9151 0.9151 0.0000
0.2500 0.7500 0.5000
0.7500 0.2500 0.5000
```

- Formation energy (no corrections): -0.349 eV per atom

***

No. 6
First-principles (PBE-GGA) data for a geometry-optimized MnAsOs2 structure, as listed in the Alexandria database.

Cell and atoms, written as POSCAR:
```
MnAsOs2
1.0
-0.8768 3.5761 1.2280
-2.4241 -0.1091 -1.4130
-3.5701 -2.0764 3.4978
Mn As Os
1 1 2
Direct
0.5000 0.6997 0.7256
0.0000 0.2942 0.5369
0.0000 0.0605 0.0038
0.5000 0.4456 0.2337
```

- Formation energy: 193 meV per atom

***

Number 1: N(E_F) 0.435 states/eV/atom. Number 2: N(E_F) 0.573 states/eV/atom. Number 3: N(E_F) 1.398 states/eV/atom. Number 4: N(E_F) 0.525 states/eV/atom. Number 5: N(E_F) 0.612 states/eV/atom. Number 6: N(E_F) 0.761 states/eV/atom.